Record 1
Computed, not measured: an optimized crystal structure of AsW2O at the GGA+U level of DFT.

a = 4.3120 Å, b = 4.3120 Å, c = 4.3120 Å
α = 60.00°, β = 60.00°, γ = 60.00°
With the nearest neighbours (Å) after each atom.
Fractional positions:
As 0.0000 0.0000 0.0000  8 W 2.64
W 0.2500 0.2500 0.2500  4 O 2.64, 4 As 2.64
W 0.7500 0.7500 0.7500  4 O 2.64, 4 As 2.64
O 0.5000 0.5000 0.5000  8 W 2.64

Values from the calculation:
magnetic moment	2.7	μB per cell
density of states at the Fermi level	1.243	states/eV/f.u.
SG	No. 225
offset from the most stable computed form	423	meV/atom

=====

Record 2
Computed, not measured: an optimized crystal structure of AsWO at the GGA+U level of DFT.

a = 5.8336 Å, b = 5.8336 Å, c = 6.1054 Å
α = 107.80°, β = 107.80°, γ = 30.16°
With the nearest neighbours (Å) after each atom.
Fractional positions:
As 0.1182 0.1182 0.4941  3 W 2.67-2.75, 1 As 2.69
As 0.8818 0.8818 0.5059  3 W 2.67-2.75, 1 As 2.69
W 0.2376 0.2376 0.1640  3 O 2.09-2.14
W 0.7624 0.7624 0.8360  3 O 2.09-2.14
O 0.3834 0.3834 0.0078  3 W 2.09-2.14
O 0.6166 0.6166 0.9922  3 W 2.09-2.14

Values from the calculation:
magnetic moment	0.0	μB per cell
density of states at the Fermi level	0.331	states/eV/f.u.
calculated total energy	-6.03	eV/atom
SG	No. 12

=====

Record 3
Computed, not measured: an optimized crystal structure of AsW2O at the GGA+U level of DFT.

a = 6.5990 Å, b = 6.5990 Å, c = 6.5990 Å
α = 132.60°, β = 132.60°, γ = 69.28°
With the nearest neighbours (Å) after each atom.
Fractional positions:
As 0.0000 0.0000 0.0000  4 W 2.56
As 0.7500 0.2500 0.5000  4 W 2.56
W 0.1982 0.6250 0.0732  2 O 2.12
W 0.3750 0.4482 0.5732  2 O 2.12
W 0.5518 0.1250 0.9268  2 O 2.12
W 0.8750 0.8018 0.4268  2 O 2.12
O 0.2500 0.7500 0.5000  4 W 2.12
O 0.5000 0.5000 0.0000  4 W 2.12

Values from the calculation:
magnetic moment	8.2	μB per cell
density of states at the Fermi level	1.243	states/eV/f.u.
SG	No. 122
offset from the most stable computed form	0	meV/atom

=====

Record 4
Computed, not measured: an optimized crystal structure of As3WO at the GGA+U level of DFT.

a = 4.8504 Å, b = 4.8504 Å, c = 4.8504 Å
α = 90.00°, β = 90.00°, γ = 90.00°
With the nearest neighbours (Å) after each atom.
Fractional positions:
As 0.0000 0.0000 0.5000  2 W 2.43
As 0.0000 0.5000 0.0000  2 W 2.43
As 0.5000 0.0000 0.0000  2 W 2.43
W 0.0000 0.0000 0.0000  6 As 2.43
O 0.5000 0.5000 0.5000  12 As 3.43

Values from the calculation:
magnetic moment	0.0	μB per cell
density of states at the Fermi level	3.845	states/eV/f.u.
SG	No. 221
offset from the most stable computed form	599	meV/atom

=====

Record 5
Computed, not measured: an optimized crystal structure of As2WO at the GGA+U level of DFT.

a = 6.7672 Å, b = 6.7672 Å, c = 6.7672 Å
α = 132.95°, β = 132.95°, γ = 68.73°
With the nearest neighbours (Å) after each atom.
Fractional positions:
As 0.0540 0.6250 0.9290  2 O 2.17
As 0.3750 0.3040 0.4290  2 O 2.17
As 0.6960 0.1250 0.0710  2 O 2.17
As 0.8750 0.9460 0.5710  2 O 2.17
W 0.2500 0.7500 0.5000  4 As 2.60
W 0.5000 0.5000 0.0000  4 As 2.60
O 0.0000 0.0000 0.0000  4 As 2.17
O 0.7500 0.2500 0.5000  4 As 2.17

Values from the calculation:
magnetic moment	4.9	μB per cell
density of states at the Fermi level	2.824	states/eV/f.u.
calculated total energy	-4.79	eV/atom
SG	No. 122